1.
VASP calculation (PBE) on a relaxed structure of TiTcAs2.

a b c (Å): 4.0406 4.0406 5.4390
angles (deg): 90.66 90.66 50.00
Fractional coordinates of all 4 atoms:
Ti: 0.0000 0.0000 0.0000
Tc: 0.0000 0.0000 0.5000
As: 0.3060 0.3060 0.7350
As: 0.6940 0.6940 0.2650

Output
symmetry = No. 12
energy of formation = -1.85 eV per formula unit
DOS at the Fermi energy = 2.18 states/eV per cell



2.
VASP calculation (PBE) on a relaxed structure of TiV2TcAs.

a b c (Å): 4.4065 4.4065 4.5853
angles (deg): 90.00 90.00 90.00
Fractional coordinates of all 5 atoms:
Ti: 0.0000 0.0000 0.0000
V: 0.0000 0.5000 0.5000
V: 0.5000 0.0000 0.5000
Tc: 0.5000 0.5000 0.0000
As: 0.0000 0.0000 0.5000

Output
symmetry = No. 123
energy of formation = 4.05 eV per formula unit
DOS at the Fermi energy = 7.82 states/eV per cell



3.
VASP calculation (PBE) on a relaxed structure of TlTc2As2.

a b c (Å): 7.4524 7.4524 3.1145
angles (deg): 90.00 90.00 90.00
Fractional coordinates of all 10 atoms:
Tl: 0.0000 0.0000 0.0000
Tl: 0.5000 0.5000 0.0000
Tc: 0.1443 0.3557 0.0000
Tc: 0.3557 0.8557 0.0000
Tc: 0.6443 0.1443 0.0000
Tc: 0.8557 0.6443 0.0000
As: 0.1390 0.6390 0.5000
As: 0.3610 0.1390 0.5000
As: 0.6390 0.8610 0.5000
As: 0.8610 0.3610 0.5000

Output
symmetry = No. 127
energy of formation = 0.97 eV per formula unit
DOS at the Fermi energy = 9.09 states/eV per cell